Record 1
Density functional theory data (PBE) for crystalline CsK2PdF6 at its relaxed geometry.

Values from the calculation:
crystal system	monoclinic
distance to the lowest polymorph of the same formula	0.0	meV per atom
uncorrected formation energy	-2225	meV per atom

abc: 6.4044 6.7645 11.0985
angles: 90.00 123.49 90.00
Atoms (fractional coordinates):
Cs 0.0000 0.0000 0.0000
Cs 0.0000 0.5000 0.5000
K 0.2530 0.0421 0.7414
K 0.2530 0.4579 0.2414
K 0.7470 0.5421 0.7586
K 0.7470 0.9579 0.2586
Pd 0.5000 0.0000 0.5000
Pd 0.5000 0.5000 0.0000
F 0.1548 0.1061 0.2969
F 0.1548 0.3939 0.7969
F 0.2968 0.6630 0.0476
F 0.2968 0.8370 0.5476
F 0.4583 0.2314 0.6010
F 0.4583 0.2686 0.1010
F 0.5417 0.7314 0.8990
F 0.5417 0.7686 0.3990
F 0.7032 0.1630 0.4524
F 0.7032 0.3370 0.9524
F 0.8452 0.6061 0.2031
F 0.8452 0.8939 0.7031


Record 2
Density functional theory data (PBE) for crystalline AgSnBi3 at its relaxed geometry.

Values from the calculation:
crystal system	cubic
distance to the lowest polymorph of the same formula	0.0	meV per atom
ΔE_f	523	meV per atom

abc: 5.5409 5.5409 5.5409
angles: 90.00 90.00 90.00
Atoms (fractional coordinates):
Ag 0.0000 0.0000 0.0000
Sn 0.5000 0.5000 0.5000
Bi 0.0000 0.0000 0.5000
Bi 0.0000 0.5000 0.0000
Bi 0.5000 0.0000 0.0000


Record 3
Density functional theory data (PBE) for crystalline In5Ag2Hg5 at its relaxed geometry.

Values from the calculation:
crystal system	monoclinic
ΔE_f	38	meV per atom

abc: 8.6415 8.6415 10.5243
angles: 125.89 125.89 29.03
Atoms (fractional coordinates):
In 0.0000 0.0000 0.0000
In 0.0662 0.0662 0.3626
In 0.1825 0.1825 0.7879
In 0.8175 0.8175 0.2121
In 0.9338 0.9338 0.6374
Ag 0.3719 0.3719 0.7722
Ag 0.6281 0.6281 0.2278
Hg 0.2752 0.2752 0.3952
Hg 0.3963 0.3963 0.0924
Hg 0.5000 0.5000 0.5000
Hg 0.6037 0.6037 0.9076
Hg 0.7248 0.7248 0.6048


Record 4
Density functional theory data (PBE) for crystalline UP2Rh at its relaxed geometry.

Values from the calculation:
crystal system	trigonal
ΔE_f	-809	meV per atom

abc: 3.8661 3.8661 15.8995
angles: 90.00 90.00 120.00
Atoms (fractional coordinates):
U 0.0000 0.0000 0.0000
U 0.3333 0.6667 0.6667
U 0.6667 0.3333 0.3333
P 0.0000 0.0000 0.2342
P 0.0000 0.0000 0.7658
P 0.3333 0.6667 0.4324
P 0.3333 0.6667 0.9009
P 0.6667 0.3333 0.0991
P 0.6667 0.3333 0.5676
Rh 0.0000 0.0000 0.5000
Rh 0.3333 0.6667 0.1667
Rh 0.6667 0.3333 0.8333


Record 5
Density functional theory data (PBE) for crystalline Al6ZnAg at its relaxed geometry.

Values from the calculation:
crystal system	monoclinic
distance to the lowest polymorph of the same formula	127.4	meV per atom
ΔE_f	142	meV per atom

abc: 5.2228 7.3514 8.1445
angles: 90.00 105.94 90.00
Atoms (fractional coordinates):
Al 0.0637 0.1869 0.3223
Al 0.0637 0.8131 0.3223
Al 0.1047 0.5000 0.1628
Al 0.3953 0.0000 0.8372
Al 0.4363 0.3131 0.6777
Al 0.4363 0.6869 0.6777
Al 0.5637 0.3131 0.3223
Al 0.5637 0.6869 0.3223
Al 0.6047 0.0000 0.1628
Al 0.8953 0.5000 0.8372
Al 0.9363 0.1869 0.6777
Al 0.9363 0.8131 0.6777
Zn 0.0000 0.0000 0.0000
Zn 0.5000 0.5000 0.0000
Ag 0.0000 0.5000 0.5000
Ag 0.5000 0.0000 0.5000


Record 6
Density functional theory data (PBE) for crystalline TiGeN2F at its relaxed geometry.

Values from the calculation:
crystal system	tetragonal
distance to the lowest polymorph of the same formula	0.0	meV per atom
uncorrected formation energy	-551	meV per atom

abc: 3.9839 3.9839 3.9180
angles: 90.00 90.00 90.00
Atoms (fractional coordinates):
Ti 0.0000 0.0000 0.0000
Ge 0.5000 0.5000 0.5000
N 0.0000 0.5000 0.0000
N 0.5000 0.0000 0.0000
F 0.0000 0.0000 0.5000


Record 7
Density functional theory data (PBE) for crystalline Li2CdAg3 at its relaxed geometry.

Values from the calculation:
crystal system	monoclinic
distance to the lowest polymorph of the same formula	32.5	meV per atom
ΔE_f	-100	meV per atom

abc: 7.3866 7.3866 11.4735
angles: 115.20 115.20 22.38
Atoms (fractional coordinates):
Li 0.1494 0.1494 0.4604
Li 0.3193 0.3193 0.1184
Li 0.6807 0.6807 0.8816
Li 0.8506 0.8506 0.5396
Cd 0.0656 0.0656 0.6436
Cd 0.9344 0.9344 0.3564
Ag 0.1060 0.1060 0.0286
Ag 0.2392 0.2392 0.2995
Ag 0.4607 0.4607 0.7853
Ag 0.5393 0.5393 0.2147
Ag 0.7608 0.7608 0.7005
Ag 0.8940 0.8940 0.9714


Record 8
Density functional theory data (PBE) for crystalline CaScSe2Br at its relaxed geometry.

Values from the calculation:
crystal system	tetragonal
distance to the lowest polymorph of the same formula	0.0	meV per atom
uncorrected formation energy	-1427	meV per atom

abc: 5.2383 5.2383 5.1421
angles: 90.00 90.00 90.00
Atoms (fractional coordinates):
Ca 0.0000 0.0000 0.0000
Sc 0.5000 0.5000 0.5000
Se 0.0000 0.5000 0.5000
Se 0.5000 0.0000 0.5000
Br 0.5000 0.5000 0.0000


Record 9
Density functional theory data (PBE) for crystalline La4TbHo3 at its relaxed geometry.

Values from the calculation:
crystal system	orthorhombic
distance to the lowest polymorph of the same formula	0.0	meV per atom
ΔE_f	29	meV per atom

abc: 5.1516 10.3044 10.2722
angles: 90.00 90.00 90.00
Atoms (fractional coordinates):
La 0.2500 0.0001 0.1280
La 0.2500 0.2500 0.8713
La 0.2500 0.4999 0.1280
La 0.2500 0.7500 0.8719
La 0.7500 0.9999 0.8720
La 0.7500 0.2500 0.1281
La 0.7500 0.5001 0.8720
La 0.7500 0.7500 0.1287
Tb 0.2500 0.2500 0.3837
Tb 0.7500 0.7500 0.6163
Ho 0.2500 0.9999 0.6163
Ho 0.2500 0.5001 0.6163
Ho 0.2500 0.7500 0.3833
Ho 0.7500 0.0001 0.3837
Ho 0.7500 0.2500 0.6167
Ho 0.7500 0.4999 0.3837


Record 10
Density functional theory data (PBE) for crystalline KSnPb2Cl8 at its relaxed geometry.

Values from the calculation:
crystal system	monoclinic
uncorrected formation energy	-1190	meV per atom

abc: 6.6100 8.8202 6.8351
angles: 90.00 90.92 90.00
Atoms (fractional coordinates):
K 0.0000 0.0000 0.0000
Sn 0.0000 0.5000 0.0000
Pb 0.5000 0.2508 0.5000
Pb 0.5000 0.7492 0.5000
Cl 0.2208 0.2867 0.1707
Cl 0.2208 0.7133 0.1707
Cl 0.2522 0.5000 0.6963
Cl 0.2847 0.0000 0.6492
Cl 0.7153 0.0000 0.3508
Cl 0.7478 0.5000 0.3037
Cl 0.7792 0.2867 0.8293
Cl 0.7792 0.7133 0.8293


Record 11
Density functional theory data (PBE) for crystalline Tl3CuHg at its relaxed geometry.

Values from the calculation:
crystal system	cubic
distance to the lowest polymorph of the same formula	0.0	meV per atom
ΔE_f	143	meV per atom

abc: 5.2949 5.2949 5.2949
angles: 90.00 90.00 90.00
Atoms (fractional coordinates):
Tl 0.0000 0.0000 0.5000
Tl 0.0000 0.5000 0.0000
Tl 0.5000 0.0000 0.0000
Cu 0.0000 0.0000 0.0000
Hg 0.5000 0.5000 0.5000


Record 12
Density functional theory data (PBE) for crystalline AgSnIN2 at its relaxed geometry.

Values from the calculation:
crystal system	tetragonal
distance to the lowest polymorph of the same formula	471.9	meV per atom
uncorrected formation energy	1679	meV per atom

abc: 4.3883 4.3883 6.0928
angles: 90.00 90.00 90.00
Atoms (fractional coordinates):
Ag 0.0000 0.0000 0.0000
Sn 0.5000 0.5000 0.5000
I 0.0000 0.0000 0.5000
N 0.0000 0.5000 0.0000
N 0.5000 0.0000 0.0000


The following electronic total energy values (in hartree per atom) correspond, in order, to the records above: -0.1533; -0.1167; -0.0626; -0.3004; -0.1169; -0.2484; -0.0851; -0.1772; -0.1738; -0.1273; -0.0793; -0.1225.